Here is an optimized crystal structure of CeCdWO6 from Alexandria via LeMat-Bulk. Energies are from PBE with a Hubbard U.

abc: 5.6492 5.6492 9.3055
angles: 90.00 90.00 120.00
Last column: nearest neighbours and their distance in Å.
Element x y z (fractional)
Ce (0.3333, 0.6667, 0.2500)  6 O 2.26
Ce (0.6667, 0.3333, 0.7500)  6 O 2.26
Cd (0.0000, 0.0000, 0.0000)  6 O 2.40
Cd (0.0000, 0.0000, 0.5000)  6 O 2.40
W (0.3333, 0.6667, 0.7500)  6 O 1.96
W (0.6667, 0.3333, 0.2500)  6 O 1.96
O (0.0396, 0.3787, 0.6359)  1 W 1.96
O (0.0396, 0.6609, 0.8641)  1 W 1.96
O (0.3391, 0.3787, 0.8641)  1 W 1.96
O (0.3391, 0.9604, 0.6359)  1 W 1.96
O (0.3787, 0.0396, 0.1359)  1 W 1.96
O (0.3787, 0.3391, 0.3641)  1 W 1.96
O (0.6213, 0.6609, 0.6359)  1 W 1.96
O (0.6213, 0.9604, 0.8641)  1 W 1.96
O (0.6609, 0.0396, 0.3641)  1 W 1.96
O (0.6609, 0.6213, 0.1359)  1 W 1.96
O (0.9604, 0.3391, 0.1359)  1 W 1.96
O (0.9604, 0.6213, 0.3641)  1 W 1.96

Summary:
Final energy   -7.0889 eV per atom
Space group   P-31c (163)